(1)
LiGa6Hg12 | PBE-GGA | relaxed

Computed properties:
The calculation puts the calculated formation energy at 0.03 eV/atom. The space-group type is No. 148.

```
LiGa6Hg12
1.0
-1.398 -7.312 4.814
3.626 -7.840 -1.997
6.311 -3.781 4.948
Hg Ga Li
12 6 1
Direct
0.629 0.516 0.184
0.184 0.629 0.516
0.659 0.075 0.948
0.925 0.052 0.341
0.816 0.371 0.484
0.341 0.925 0.052
0.052 0.341 0.925
0.075 0.948 0.659
0.484 0.816 0.371
0.371 0.484 0.816
0.516 0.184 0.629
0.948 0.659 0.075
0.156 0.287 0.548
0.713 0.452 0.844
0.287 0.548 0.156
0.844 0.713 0.452
0.548 0.156 0.287
0.452 0.844 0.713
0.000 0.000 0.000
```



(2)
Pm3HoO6 | PBE-GGA | relaxed

Computed properties:
The space-group type is No. 148. The calculation puts the uncorrected formation energy at -3.4653 eV per atom. As for the energy above the most stable polymorph in this dataset: 0.000 eV/atom.

```
Pm3HoO6
1.0
-3.563 5.299 -2.632
2.277 -1.854 -6.252
-5.459 -4.202 -0.505
Pm O Ho
6 12 2
Direct
0.064 0.252 0.557
0.252 0.557 0.064
0.557 0.064 0.252
0.443 0.936 0.748
0.748 0.443 0.936
0.936 0.748 0.443
0.598 0.811 0.467
0.933 0.690 0.091
0.690 0.091 0.933
0.402 0.189 0.533
0.909 0.067 0.310
0.533 0.402 0.189
0.310 0.909 0.067
0.811 0.467 0.598
0.067 0.310 0.909
0.467 0.598 0.811
0.091 0.933 0.690
0.189 0.533 0.402
0.000 0.000 0.000
0.500 0.500 0.500
```



(3)
TbThOsPt | PBE-GGA | relaxed

Computed properties:
The calculation puts the calculated formation energy at -0.62 eV/atom. The space-group type is No. 216.

```
TbThOsPt
1.0
-3.370 0.957 3.571
-2.243 -3.773 2.398
1.101 -0.926 4.791
Os Th Tb Pt
1 1 1 1
Direct
0.250 0.250 0.250
0.500 0.500 0.500
0.000 0.000 0.000
0.750 0.750 0.750
```